Computed, not measured: PmHfMn2O6 after structural relaxation at the GGA+U level of DFT.

Output
E: -84.43 eV/cell
Size of the total moment: 7.0 μB per formula unit

abc: 5.427 5.432 5.817
angles: 62.13 61.96 59.87
Fractional coordinates of all 10 atoms:
1 O 0.928 0.622 0.227
2 O 0.151 0.353 0.763
3 Pm 0.797 0.798 0.608
4 O 0.733 0.153 0.761
5 O 0.353 0.732 0.763
6 O 0.225 0.928 0.226
7 Mn 0.008 0.010 0.973
8 Hf 0.318 0.315 0.051
9 O 0.621 0.223 0.228
10 Mn 0.528 0.528 0.417